1.
Computed, not measured: a relaxed structure of ScCdO3 at the GGA-PBE level of DFT.

Properties
The value obtained for the uncorrected formation energy is -1769 meV/atom. The value obtained for the total DFT energy (no corrections) is -123.9 eV for the cell shown. For the total magnetization, the calculation gives 0.202 μB/atom. The calculation puts the density of states at the Fermi level at 8.4 states/eV per cell.

Cell: 7.335 7.335 7.335 Å, 60.00 60.00 60.00°
Element x y z (fractional)
O1 0.022 0.478 0.478
O2 0.478 0.022 0.022
O3 0.228 0.772 0.772
O4 0.772 0.228 0.228
O5 0.228 0.772 0.228
O6 0.228 0.228 0.772
O7 0.772 0.228 0.772
O8 0.478 0.022 0.478
O9 0.022 0.478 0.022
O10 0.772 0.772 0.228
O11 0.022 0.022 0.478
O12 0.478 0.478 0.022
Cd1 0.625 0.125 0.625
Cd2 0.625 0.625 0.125
Cd3 0.625 0.625 0.625
Cd4 0.125 0.625 0.625
Sc1 0.125 0.125 0.125
Sc2 0.125 0.125 0.625
Sc3 0.125 0.625 0.125
Sc4 0.625 0.125 0.125


2.
Computed, not measured: a relaxed structure of Sc3CdO at the GGA-PBE level of DFT.

Properties
The value obtained for the uncorrected formation energy is -946 meV/atom. The value obtained for the total DFT energy (no corrections) is -59.2 eV for the cell shown. For the total magnetization, the calculation gives 0.000 μB/atom. The calculation puts the density of states at the Fermi level at 9.8 states/eV per cell.

Cell: 5.967 5.967 5.967 Å, 87.30 87.30 87.30°
Element x y z (fractional)
Sc1 0.750 0.991 0.509
Sc2 0.009 0.491 0.250
Sc3 0.509 0.750 0.991
Sc4 0.991 0.509 0.750
Sc5 0.250 0.009 0.491
Sc6 0.491 0.250 0.009
Cd1 0.000 0.000 0.000
Cd2 0.500 0.500 0.500
O1 0.750 0.750 0.750
O2 0.250 0.250 0.250


3.
Computed, not measured: a relaxed structure of Sc3CdO at the GGA-PBE level of DFT.

Properties
The value obtained for the uncorrected formation energy is -1315 meV/atom. The value obtained for the total DFT energy (no corrections) is -62.9 eV for the cell shown. For the total magnetization, the calculation gives 0.000 μB/atom. The calculation puts the density of states at the Fermi level at 8.7 states/eV per cell.

Cell: 5.461 5.461 6.324 Å, 89.98 90.02 74.84°
Element x y z (fractional)
O1 0.588 0.200 0.443
O2 0.088 0.700 0.443
Sc1 0.338 0.450 0.200
Sc2 0.838 0.950 0.686
Sc3 0.338 0.950 0.443
Sc4 0.838 0.950 0.200
Sc5 0.338 0.449 0.686
Sc6 0.838 0.450 0.443
Cd1 0.338 0.949 0.943
Cd2 0.838 0.450 0.943


4.
Computed, not measured: a relaxed structure of Sc3CdO at the GGA-PBE level of DFT.

Properties
The value obtained for the uncorrected formation energy is -1273 meV/atom. The value obtained for the total DFT energy (no corrections) is -62.5 eV for the cell shown. For the total magnetization, the calculation gives 0.000 μB/atom. The calculation puts the density of states at the Fermi level at 7.0 states/eV per cell.

Cell: 6.106 6.093 6.093 Å, 59.62 83.67 96.33°
Element x y z (fractional)
O1 0.993 0.362 0.443
O2 0.993 0.962 0.043
Sc1 0.993 0.162 0.243
Sc2 0.244 0.178 0.699
Sc3 0.244 0.706 0.227
Sc4 0.741 0.617 0.259
Sc5 0.741 0.146 0.788
Sc6 0.493 0.662 0.743
Cd1 0.993 0.662 0.743
Cd2 0.493 0.162 0.243


5.
Computed, not measured: a relaxed structure of Sc3CdO at the GGA-PBE level of DFT.

Properties
The value obtained for the uncorrected formation energy is -25 meV/atom. The value obtained for the total DFT energy (no corrections) is -50.0 eV for the cell shown. For the total magnetization, the calculation gives 0.000 μB/atom. The calculation puts the density of states at the Fermi level at 11.2 states/eV per cell.

Cell: 4.229 4.229 15.063 Å, 90.00 90.00 120.00°
Element x y z (fractional)
Sc1 0.667 0.333 0.437
Sc2 0.333 0.667 0.563
Sc3 0.333 0.667 0.937
Sc4 0.000 0.000 0.250
Sc5 0.667 0.333 0.063
Sc6 0.000 0.000 0.750
O1 0.000 0.000 0.500
O2 0.000 0.000 0.000
Cd1 0.667 0.333 0.250
Cd2 0.333 0.667 0.750


6.
Computed, not measured: a relaxed structure of Sc3CdO at the GGA-PBE level of DFT.

Properties
The value obtained for the uncorrected formation energy is -1244 meV/atom. The value obtained for the total DFT energy (no corrections) is -124.3 eV for the cell shown. For the total magnetization, the calculation gives 0.000 μB/atom. The calculation puts the density of states at the Fermi level at 24.0 states/eV per cell.

Cell: 11.670 8.219 8.219 Å, 78.15 123.54 56.46°
Element x y z (fractional)
O1 0.750 0.443 0.943
O2 0.250 0.811 0.311
O3 0.750 0.189 0.689
O4 0.250 0.557 0.057
Cd1 0.574 0.132 0.997
Cd2 0.426 0.868 0.003
Cd3 0.926 0.497 0.632
Cd4 0.074 0.503 0.368
Sc1 0.430 0.135 0.232
Sc2 0.914 0.038 0.097
Sc3 0.912 0.779 0.846
Sc4 0.588 0.346 0.279
Sc5 0.412 0.654 0.721
Sc6 0.086 0.962 0.903
Sc7 0.088 0.221 0.154
Sc8 0.930 0.268 0.365
Sc9 0.414 0.403 0.462
Sc10 0.070 0.732 0.635
Sc11 0.586 0.597 0.538
Sc12 0.570 0.865 0.768